# PBE-GGA PaZnHg2, relaxed
# Total DFT energy (no corrections) ... -30.6 eV per cell
# Crystal system ... trigonal
# Volume ... 24.0 Å³/atom
# ΔE_f ... 1.2 eV per formula unit
# Distance to the lowest polymorph of the same formula ... 0.89 eV per formula unit
data_PaZnHg2
_symmetry_space_group_name_H-M 'R -3 m'
_symmetry_Int_Tables_number 166
_symmetry_space_group_name_Hall '-R 3 2"'
_cell_length_a 3.1461
_cell_length_b 3.1461
_cell_length_c 33.5756
_cell_angle_alpha 90.00
_cell_angle_beta 90.00
_cell_angle_gamma 120.00
loop_
_atom_site_label
_atom_site_type_symbol
_atom_site_fract_x
_atom_site_fract_y
_atom_site_fract_z
Pa1 Pa 0.0000 0.0000 0.0000
Zn1 Zn 0.0000 0.0000 0.5000
Hg1 Hg 0.0000 0.0000 0.0944

# PBE-GGA TlCdF3, relaxed
# Total DFT energy (no corrections) ... -38.0 eV per cell
# Crystal system ... monoclinic
# Energy relative to the elements, uncorrected ... -2019 meV/atom
# Volume ... 17.2 Å³/atom
data_TlCdF3
_symmetry_space_group_name_H-M 'P 1 21/m 1'
_symmetry_Int_Tables_number 11
_cell_length_a 3.740
_cell_length_b 5.865
_cell_length_c 7.857
_cell_angle_alpha 90.00
_cell_angle_beta 90.04
_cell_angle_gamma 90.00
loop_
_symmetry_equiv_pos_as_xyz
'x,y,z'
'-x,-y,-z'
'-x,y+1/2,-z'
'x,-y+1/2,z'
loop_
_atom_site_label
_atom_site_type_symbol
_atom_site_fract_x
_atom_site_fract_y
_atom_site_fract_z
Tl1 Tl 0.249 0.250 0.373
Cd1 Cd 0.250 0.750 0.098
F1 F 0.250 0.005 0.870
F2 F 0.250 0.750 0.387

# PBE-GGA SmGdNi2, relaxed
# Total DFT energy (no corrections) ... -31.6 eV per cell
# Crystal system ... tetragonal
# Volume ... 20.2 Å³/atom
# ΔE_f ... -1.2 eV per formula unit
data_SmGdNi2
_symmetry_space_group_name_H-M 'P 4/m m m'
_symmetry_Int_Tables_number 123
_symmetry_space_group_name_Hall '-P 4 2'
_cell_length_a 4.877
_cell_length_b 4.877
_cell_length_c 3.390
_cell_angle_alpha 90.00
_cell_angle_beta 90.00
_cell_angle_gamma 90.00
loop_
_atom_site_label
_atom_site_type_symbol
_atom_site_fract_x
_atom_site_fract_y
_atom_site_fract_z
Sm1 Sm 0.000 0.000 0.000
Gd1 Gd 0.500 0.500 0.000
Ni1 Ni 0.000 0.500 0.500

# PBE-GGA VOs3S, relaxed
# Total DFT energy (no corrections) ... -36.1 eV per cell
# Crystal system ... cubic
# Energy relative to the elements, uncorrected ... 2163 meV/atom
# Volume ... 18.2 Å³/atom
# Distance to the lowest polymorph of the same formula ... 5.57 eV per formula unit
data_VOs3S
_symmetry_space_group_name_H-M 'P m -3 m'
_symmetry_Int_Tables_number 221
_symmetry_space_group_name_Hall '-P 4 2 3'
_cell_length_a 4.502
_cell_length_b 4.502
_cell_length_c 4.502
_cell_angle_alpha 90.00
_cell_angle_beta 90.00
_cell_angle_gamma 90.00
loop_
_atom_site_label
_atom_site_type_symbol
_atom_site_fract_x
_atom_site_fract_y
_atom_site_fract_z
V1 V 0.000 0.000 0.000
Os1 Os 0.000 0.000 0.500
S1 S 0.500 0.500 0.500